1.
Compound: V3Cr2Pd
Source: Alexandria via LeMat-Bulk
Functional: PBE
Structure: relaxed

```
V3Cr2Pd
1.0
-1.8784 2.0855 0.8884
-0.7771 -1.6763 2.2920
6.5755 3.7915 5.0025
Pd V Cr
1 3 2
Cartesian
1.9600 2.1004 4.0914
2.0205 1.1650 1.5371
0.0000 0.0000 0.0000
4.5550 2.6265 3.4653
-0.2560 0.8226 2.4055
4.1761 3.3782 5.7774
```

Properties
Energy of formation = -0.100 eV/atom
Total DFT energy (no corrections) = -8.733 eV/atom

---

2.
Compound: Pr12Tl3In
Source: Alexandria via LeMat-Bulk
Functional: PBE
Structure: relaxed

```
Pr12Tl3In
1.0
-2.1578 -3.0923 3.3237
-3.2644 -1.5006 -3.5154
12.6442 -14.6992 -5.4670
Pr Tl In
12 3 1
Cartesian
6.2721 -9.9392 -5.1753
6.7771 -13.3267 -4.1982
0.4450 -5.9654 -1.4604
6.8254 -10.7351 -1.7557
-2.7111 -2.2964 -0.0958
-0.0622 -2.5755 -2.4365
0.4911 -3.3714 0.9830
3.1078 -6.2606 -3.8071
9.9953 -14.4202 -3.1263
3.6110 -9.6461 -2.8293
3.6611 -7.0565 -0.3875
9.4420 -13.6243 -6.5458
6.3221 -7.3496 -2.7335
9.4852 -11.0268 -4.1011
3.1590 -3.6725 -1.3659
0.0000 0.0000 0.0000
```

Properties
Energy of formation = -0.229 eV/atom
Total DFT energy (no corrections) = -4.428 eV/atom

---

3.
Compound: Pu2NpGeN5
Source: Alexandria via LeMat-Bulk
Functional: PBE
Structure: relaxed

```
Pu2NpGeN5
1.0
-1.8640 -1.5314 2.2785
5.7518 2.1830 3.7563
-4.7570 8.9175 2.1017
Pu N Ge Np
4 10 2 2
Cartesian
1.7962 2.1143 5.3067
-1.1458 7.3380 6.4108
-0.1194 2.9733 1.9006
-2.2030 6.5881 2.6255
0.8121 5.4362 6.7343
-2.0722 4.1237 3.4925
-3.1568 7.4886 4.8668
-0.3039 6.5475 4.1519
0.4495 1.1193 3.5363
3.5202 1.1017 3.6202
1.2074 4.1054 3.7469
0.2076 0.5919 0.5677
1.0206 8.4529 6.5160
-2.2731 1.8346 1.7898
2.5463 5.6306 5.8673
-5.5392 7.9195 3.2074
2.0147 0.6203 2.0651
-0.5311 4.5382 5.0319
```

Properties
Formation energy (no corrections) = -0.761 eV per atom
Total DFT energy (no corrections) = -10.522 eV/atom

---

4.
Compound: Ga2CuSn2
Source: Alexandria via LeMat-Bulk
Functional: PBE
Structure: relaxed

```
Ga2CuSn2
1.0
6.5211 0.0000 0.0000
0.0000 6.5211 0.0000
0.0000 0.0000 5.0191
Ga Sn Cu
4 4 2
Cartesian
5.5849 4.1967 0.0000
0.9362 2.3243 0.0000
2.3243 5.5849 0.0000
4.1967 0.9362 0.0000
5.3690 2.1085 2.5095
1.1521 4.4126 2.5095
4.4126 5.3690 2.5095
2.1085 1.1521 2.5095
3.2605 3.2605 0.0000
0.0000 0.0000 0.0000
```

Properties
Energy of formation = 0.104 eV/atom
Total DFT energy (no corrections) = -3.527 eV/atom
Distance to the lowest polymorph of the same formula = 0.000 eV per atom

---

5.
Compound: KHfGe3
Source: Alexandria via LeMat-Bulk
Functional: PBE
Structure: relaxed

```
KHfGe3
1.0
-0.8074 -1.6553 4.9044
-0.0889 -4.9585 -1.6882
5.1754 -0.3434 0.7361
Ge K Hf
3 1 1
Cartesian
2.5877 -0.1717 0.3681
-0.4037 -0.8276 2.4522
-0.0445 -2.4793 -0.8441
2.1396 -3.4786 1.9762
0.0000 0.0000 0.0000
```

Properties
Energy of formation = 0.038 eV/atom
Total DFT energy (no corrections) = -4.943 eV/atom
Distance to the lowest polymorph of the same formula = 0.000 eV per atom

---

6.
Compound: YNi2Rh
Source: Alexandria via LeMat-Bulk
Functional: PBE
Structure: relaxed

```
YNi2Rh
1.0
-0.4170 -1.7932 3.7492
-1.9835 -3.6587 0.3546
3.1674 -4.0424 0.7598
Rh Ni Y
1 2 1
Cartesian
-0.2575 -4.3882 2.5303
-1.7984 -5.7902 4.0119
0.2564 -2.4105 1.2063
0.5494 -7.1044 3.6507
```

Properties
Energy of formation = -0.323 eV/atom
Total DFT energy (no corrections) = -6.668 eV/atom

---

7.
Compound: ScMnZn5
Source: Alexandria via LeMat-Bulk
Functional: PBE
Structure: relaxed

```
ScMnZn5
1.0
4.7692 -0.1739 -0.0003
-1.7164 4.4531 -0.0002
-0.0002 -0.0003 5.8202
Mn Zn Sc
1 5 1
Cartesian
1.5263 2.1394 2.9098
-0.0001 -0.0001 2.9101
-0.8582 2.2263 4.2928
0.6682 4.3659 1.5268
3.9109 2.0525 1.5268
2.3844 -0.0871 4.2928
0.0000 0.0000 0.0000
```

Properties
Energy of formation = 0.057 eV/atom
Total DFT energy (no corrections) = -3.068 eV/atom

---

8.
Compound: La2TeP
Source: Alexandria via LeMat-Bulk
Functional: PBE
Structure: relaxed

```
La2TeP
1.0
4.4342 0.0000 0.0000
0.0000 4.4342 0.0000
0.0000 0.0000 6.2738
La P Te
2 1 1
Cartesian
2.2171 2.2171 3.1369
0.0000 0.0000 0.0000
2.2171 2.2171 0.0000
0.0000 0.0000 3.1369
```

Properties
Formation energy (no corrections) = -1.543 eV per atom
Total DFT energy (no corrections) = -6.144 eV/atom
Distance to the lowest polymorph of the same formula = 0.122 eV per atom

---

9.
Compound: TaNiSe2N
Source: Alexandria via LeMat-Bulk
Functional: PBE
Structure: relaxed

```
TaNiSe2N
1.0
4.8820 0.0000 0.0000
0.0000 4.8820 0.0000
0.0000 0.0000 3.3890
N Se Ni Ta
1 2 1 1
Cartesian
0.0000 0.0000 1.6945
2.4410 0.0000 0.0000
0.0000 2.4410 0.0000
0.0000 0.0000 0.0000
2.4410 2.4410 1.6945
```

Properties
Formation energy (no corrections) = 0.638 eV per atom
Total DFT energy (no corrections) = -5.948 eV/atom
Distance to the lowest polymorph of the same formula = 0.263 eV per atom

---

10.
Compound: CaPa2CrN4
Source: Alexandria via LeMat-Bulk
Functional: PBE
Structure: relaxed

```
CaPa2CrN4
1.0
5.4444 0.1877 0.2705
-2.4570 4.8621 -0.2705
-2.4570 -1.9550 4.4600
Ca N Cr Pa
1 4 1 2
Cartesian
0.0000 0.0000 0.0000
-1.8161 2.6060 0.4855
-1.8161 -0.4573 2.6111
-1.7555 2.5702 3.7040
1.0041 1.2829 1.8488
-2.4570 1.4536 2.0948
0.2652 -0.1569 3.4126
0.2652 3.2517 1.0474
```

Properties
Formation energy (no corrections) = -0.938 eV per atom
Total DFT energy (no corrections) = -8.928 eV/atom

---

11.
Compound: Sm3Ag2Pd2
Source: Alexandria via LeMat-Bulk
Functional: PBE
Structure: relaxed

```
Sm3Ag2Pd2
1.0
-2.2834 1.1659 3.1290
0.1121 -3.5194 1.3931
7.8427 3.0939 7.1851
Pd Sm Ag
2 3 2
Cartesian
2.6485 -0.1332 4.5972
3.0228 0.8735 7.1101
4.8359 2.2536 5.3041
0.0000 0.0000 0.0000
0.7234 2.0062 5.0100
5.4087 1.5403 8.6027
0.2627 -0.8000 3.1046
```

Properties
Energy of formation = -0.531 eV/atom
Total DFT energy (no corrections) = -4.852 eV/atom

---

12.
Compound: Pm4Ho5Tl2
Source: Alexandria via LeMat-Bulk
Functional: PBE
Structure: relaxed

```
Pm4Ho5Tl2
1.0
5.2359 0.0000 0.0000
2.6180 4.5344 0.0000
2.6180 1.5115 15.9296
Ho Pm Tl
5 4 2
Cartesian
2.6180 1.5115 6.4352
5.2359 3.0230 0.8662
7.8539 4.5344 9.4944
5.2359 3.0230 7.9648
5.2359 3.0230 15.0634
5.2359 3.0230 11.4700
5.2359 3.0230 4.4596
7.8539 4.5344 13.1839
2.6180 1.5115 2.7457
2.6180 1.5115 9.9784
7.8539 4.5344 5.9512
```

Properties
Energy of formation = 0.236 eV/atom
Total DFT energy (no corrections) = -4.003 eV/atom

---

- total DFT energy (no corrections) of number 9 (TaNiSe2N)?
  -5.948 eV/atom